Entry from Alexandria via LeMat-Bulk: a relaxed RbSc5Cl12 crystal (PBE).

a = 8.313 Å, b = 8.313 Å, c = 8.313 Å
α = 105.30°, β = 113.58°, γ = 109.64°
Fractional coordinates of all 18 atoms:
Rb1 0.000 0.500 0.500
Sc1 0.655 0.655 0.000
Sc2 0.345 0.345 0.000
Sc3 0.500 0.140 0.640
Sc4 0.500 0.860 0.360
Sc5 0.000 0.000 0.000
Cl1 0.512 0.837 0.674
Cl2 0.488 0.163 0.326
Cl3 0.837 0.163 0.674
Cl4 0.163 0.837 0.326
Cl5 0.674 0.656 0.330
Cl6 0.326 0.344 0.670
Cl7 0.326 0.656 0.982
Cl8 0.674 0.344 0.018
Cl9 0.827 0.638 0.811
Cl10 0.173 0.362 0.189
Cl11 0.173 0.984 0.811
Cl12 0.827 0.016 0.189

Values from the calculation:
Spin magnetization, μB per atom: 0.02
Calculated total energy, eV per atom: -4.88
Formation energy from raw total energies, eV/atom: -1.834